Arrangement 1

# CrAs4Os | Alexandria via LeMat-Bulk | PBE | relaxed
# **Calculated density**: 8.40 g/cm3
data_CrAs4Os
_chemical_formula_sum 'Cr2 As8 Os2'
_cell_length_a 6.0573
_cell_length_b 6.3538
_cell_length_c 6.3682
_cell_angle_alpha 90.00
_cell_angle_beta 119.10
_cell_angle_gamma 90.00
_space_group_name_H-M_alt 'P 1 21/c 1'
_space_group_IT_number 14
loop_
_space_group_symop_operation_xyz
'x,y,z'
'-x,-y,-z'
'-x,y+1/2,-z+1/2'
'x,-y+1/2,z+1/2'
loop_
_atom_site_label
_atom_site_type_symbol
_atom_site_fract_x
_atom_site_fract_y
_atom_site_fract_z
Cr1 Cr 0.0000 0.0000 0.0000
As1 As 0.0529 0.1249 0.6672
As2 As 0.4586 0.1327 0.3393
Os1 Os 0.5000 0.0000 0.0000

---

Arrangement 2

# CrAs4Os | Alexandria via LeMat-Bulk | PBE | relaxed
# **Calculated density**: 8.31 g/cm3
data_CrAs4Os
_chemical_formula_sum 'Cr4 As16 Os4'
_cell_length_a 7.5672
_cell_length_b 7.5672
_cell_length_c 7.5672
_cell_angle_alpha 90.00
_cell_angle_beta 90.00
_cell_angle_gamma 90.00
_space_group_name_H-M_alt 'F -4 3 m'
_space_group_IT_number 216
_space_group_name_Hall 'F -4 2 3'
loop_
_atom_site_label
_atom_site_type_symbol
_atom_site_fract_x
_atom_site_fract_y
_atom_site_fract_z
Cr1 Cr 0.0000 0.0000 0.0000
As1 As 0.1249 0.1249 0.3751
Os1 Os 0.2500 0.2500 0.7500

---

Each structure's energy above the most stable one, in meV per atom: arrangement 1 0; arrangement 2 1034.

---

Arrangement 1

# Cr2As2P | Alexandria via LeMat-Bulk | PBE | relaxed
# **Calculated density**: 6.03 g/cm3
data_Cr2As2P
_chemical_formula_sum 'Cr4 As4 P2'
_cell_length_a 7.3396
_cell_length_b 7.3396
_cell_length_c 2.9121
_cell_angle_alpha 90.00
_cell_angle_beta 90.00
_cell_angle_gamma 90.00
_space_group_name_H-M_alt 'P 4/m b m'
_space_group_IT_number 127
_space_group_name_Hall '-P 4 2ab'
loop_
_atom_site_label
_atom_site_type_symbol
_atom_site_fract_x
_atom_site_fract_y
_atom_site_fract_z
Cr1 Cr 0.1416 0.3584 0.0000
As1 As 0.1530 0.6530 0.5000
P1 P 0.0000 0.0000 0.5000

---

Arrangement 2

# Cr2As2P | Alexandria via LeMat-Bulk | PBE | relaxed
# **Calculated density**: 5.44 g/cm3
data_Cr2As2P
_chemical_formula_sum 'Cr4 As4 P2'
_cell_length_a 4.5956
_cell_length_b 4.5956
_cell_length_c 8.2372
_cell_angle_alpha 90.00
_cell_angle_beta 90.00
_cell_angle_gamma 90.00
_space_group_name_H-M_alt 'I 4/m m m'
_space_group_IT_number 139
_space_group_name_Hall '-I 4 2'
loop_
_atom_site_label
_atom_site_type_symbol
_atom_site_fract_x
_atom_site_fract_y
_atom_site_fract_z
Cr1 Cr 0.0000 0.5000 0.2500
As1 As 0.0000 0.0000 0.1459
P1 P 0.0000 0.0000 0.5000

---

Each structure's energy above the most stable one, in meV per atom: arrangement 1 99; arrangement 2 0.

---

Arrangement 1

# CrAs3P | Alexandria via LeMat-Bulk | PBE | relaxed
# **Calculated density**: 5.22 g/cm3
data_CrAs3P
_chemical_formula_sum 'Cr1 As3 P1'
_cell_length_a 4.6093
_cell_length_b 4.6093
_cell_length_c 4.6093
_cell_angle_alpha 90.00
_cell_angle_beta 90.00
_cell_angle_gamma 90.00
_space_group_name_H-M_alt 'P m -3 m'
_space_group_IT_number 221
_space_group_name_Hall '-P 4 2 3'
loop_
_atom_site_label
_atom_site_type_symbol
_atom_site_fract_x
_atom_site_fract_y
_atom_site_fract_z
Cr1 Cr 0.0000 0.0000 0.0000
As1 As 0.0000 0.0000 0.5000
P1 P 0.5000 0.5000 0.5000

---

Arrangement 2

# CrAs3P | Alexandria via LeMat-Bulk | PBE | relaxed
# **Calculated density**: 5.02 g/cm3
data_CrAs3P
_chemical_formula_sum 'Cr1 As3 P1'
_cell_length_a 4.6705
_cell_length_b 4.6705
_cell_length_c 4.6705
_cell_angle_alpha 90.00
_cell_angle_beta 90.00
_cell_angle_gamma 90.00
_space_group_name_H-M_alt 'P m -3 m'
_space_group_IT_number 221
_space_group_name_Hall '-P 4 2 3'
loop_
_atom_site_label
_atom_site_type_symbol
_atom_site_fract_x
_atom_site_fract_y
_atom_site_fract_z
Cr1 Cr 0.0000 0.0000 0.0000
As1 As 0.0000 0.5000 0.5000
P1 P 0.5000 0.5000 0.5000

---

Each structure's energy above the most stable one, in meV per atom: arrangement 1 0; arrangement 2 587.

---

Arrangement 1

# Cr3AsP | Alexandria via LeMat-Bulk | PBE | relaxed
# **Calculated density**: 4.15 g/cm3
data_Cr3AsP
_chemical_formula_sum 'Cr3 As1 P1'
_cell_length_a 4.7163
_cell_length_b 4.7163
_cell_length_c 4.7163
_cell_angle_alpha 90.00
_cell_angle_beta 90.00
_cell_angle_gamma 90.00
_space_group_name_H-M_alt 'P m -3 m'
_space_group_IT_number 221
_space_group_name_Hall '-P 4 2 3'
loop_
_atom_site_label
_atom_site_type_symbol
_atom_site_fract_x
_atom_site_fract_y
_atom_site_fract_z
Cr1 Cr 0.0000 0.0000 0.5000
As1 As 0.0000 0.0000 0.0000
P1 P 0.5000 0.5000 0.5000

---

Arrangement 2

# Cr3AsP | Alexandria via LeMat-Bulk | PBE | relaxed
# **Calculated density**: 4.76 g/cm3
data_Cr3AsP
_chemical_formula_sum 'Cr3 As1 P1'
_cell_length_a 4.5026
_cell_length_b 4.5026
_cell_length_c 4.5026
_cell_angle_alpha 90.00
_cell_angle_beta 90.00
_cell_angle_gamma 90.00
_space_group_name_H-M_alt 'P m -3 m'
_space_group_IT_number 221
_space_group_name_Hall '-P 4 2 3'
loop_
_atom_site_label
_atom_site_type_symbol
_atom_site_fract_x
_atom_site_fract_y
_atom_site_fract_z
Cr1 Cr 0.0000 0.0000 0.5000
As1 As 0.5000 0.5000 0.5000
P1 P 0.0000 0.0000 0.0000

---

Each structure's energy above the most stable one, in meV per atom: arrangement 1 400; arrangement 2 0.

---

Arrangement 1

# CrAsP2S | Alexandria via LeMat-Bulk | PBE | relaxed
# **Calculated density**: 4.10 g/cm3
data_CrAsP2S
_chemical_formula_sum 'Cr1 As1 P2 S1'
_cell_length_a 4.6233
_cell_length_b 4.6233
_cell_length_c 4.1884
_cell_angle_alpha 90.00
_cell_angle_beta 90.00
_cell_angle_gamma 90.00
_space_group_name_H-M_alt 'P 4/m m m'
_space_group_IT_number 123
_space_group_name_Hall '-P 4 2'
loop_
_atom_site_label
_atom_site_type_symbol
_atom_site_fract_x
_atom_site_fract_y
_atom_site_fract_z
Cr1 Cr 0.0000 0.0000 0.0000
As1 As 0.5000 0.5000 0.5000
P1 P 0.0000 0.5000 0.0000
S1 S 0.0000 0.0000 0.5000

---

Arrangement 2

# CrAsP2S | Alexandria via LeMat-Bulk | PBE | relaxed
# **Calculated density**: 4.11 g/cm3
data_CrAsP2S
_chemical_formula_sum 'Cr1 As1 P2 S1'
_cell_length_a 4.6196
_cell_length_b 4.6196
_cell_length_c 4.1797
_cell_angle_alpha 90.00
_cell_angle_beta 90.00
_cell_angle_gamma 90.00
_space_group_name_H-M_alt 'P 4/m m m'
_space_group_IT_number 123
_space_group_name_Hall '-P 4 2'
loop_
_atom_site_label
_atom_site_type_symbol
_atom_site_fract_x
_atom_site_fract_y
_atom_site_fract_z
Cr1 Cr 0.0000 0.0000 0.0000
As1 As 0.5000 0.5000 0.0000
P1 P 0.0000 0.5000 0.5000
S1 S 0.0000 0.0000 0.5000

---

Each structure's energy above the most stable one, in meV per atom: arrangement 1 0; arrangement 2 483.

---

Arrangement 1

# PaCrAs2 | Alexandria via LeMat-Bulk | PBE | relaxed
# **Calculated density**: 8.48 g/cm3
data_PaCrAs2
_chemical_formula_sum 'Pa3 Cr3 As6'
_cell_length_a 3.1564
_cell_length_b 3.1564
_cell_length_c 29.4592
_cell_angle_alpha 90.00
_cell_angle_beta 90.00
_cell_angle_gamma 120.00
_space_group_name_H-M_alt 'R -3 m'
_space_group_IT_number 166
_space_group_name_Hall '-R 3 2"'
loop_
_atom_site_label
_atom_site_type_symbol
_atom_site_fract_x
_atom_site_fract_y
_atom_site_fract_z
Pa1 Pa 0.0000 0.0000 0.0000
Cr1 Cr 0.0000 0.0000 0.5000
As1 As 0.0000 0.0000 0.4159

---

Arrangement 2

# PaCrAs2 | Alexandria via LeMat-Bulk | PBE | relaxed
# **Calculated density**: 9.33 g/cm3
data_PaCrAs2
_chemical_formula_sum 'Pa1 Cr1 As2'
_cell_length_a 3.3922
_cell_length_b 3.3922
_cell_length_c 6.6975
_cell_angle_alpha 90.00
_cell_angle_beta 90.00
_cell_angle_gamma 90.00
_space_group_name_H-M_alt 'P 4/m m m'
_space_group_IT_number 123
_space_group_name_Hall '-P 4 2'
loop_
_atom_site_label
_atom_site_type_symbol
_atom_site_fract_x
_atom_site_fract_y
_atom_site_fract_z
Pa1 Pa 0.0000 0.0000 0.0000
Cr1 Cr 0.0000 0.0000 0.5000
As1 As 0.5000 0.5000 0.2715

---

Each structure's energy above the most stable one, in meV per atom: arrangement 1 384; arrangement 2 0.

---

Arrangement 1

# Pa2CrAs | Alexandria via LeMat-Bulk | PBE | relaxed
# **Calculated density**: 12.03 g/cm3
data_Pa2CrAs
_chemical_formula_sum 'Pa2 Cr1 As1'
_cell_length_a 3.6387
_cell_length_b 3.6387
_cell_length_c 6.1384
_cell_angle_alpha 90.00
_cell_angle_beta 90.00
_cell_angle_gamma 90.00
_space_group_name_H-M_alt 'P 4/m m m'
_space_group_IT_number 123
_space_group_name_Hall '-P 4 2'
loop_
_atom_site_label
_atom_site_type_symbol
_atom_site_fract_x
_atom_site_fract_y
_atom_site_fract_z
Pa1 Pa 0.0000 0.0000 0.2477
Cr1 Cr 0.5000 0.5000 0.5000
As1 As 0.5000 0.5000 0.0000

---

Arrangement 2

# Pa2CrAs | Alexandria via LeMat-Bulk | PBE | relaxed
# **Calculated density**: 12.44 g/cm3
data_Pa2CrAs
_chemical_formula_sum 'Pa2 Cr1 As1'
_cell_length_a 4.2843
_cell_length_b 4.2843
_cell_length_c 4.2817
_cell_angle_alpha 90.00
_cell_angle_beta 90.00
_cell_angle_gamma 90.00
_space_group_name_H-M_alt 'P 4/m m m'
_space_group_IT_number 123
_space_group_name_Hall '-P 4 2'
loop_
_atom_site_label
_atom_site_type_symbol
_atom_site_fract_x
_atom_site_fract_y
_atom_site_fract_z
Pa1 Pa 0.0000 0.5000 0.0000
Cr1 Cr 0.0000 0.0000 0.5000
As1 As 0.5000 0.5000 0.5000

---

Each structure's energy above the most stable one, in meV per atom: arrangement 1 14; arrangement 2 0.

---

Arrangement 1

# PaCrAs | Alexandria via LeMat-Bulk | PBE | relaxed
# **Calculated density**: 10.50 g/cm3
data_PaCrAs
_chemical_formula_sum 'Pa1 Cr1 As1'
_cell_length_a 4.3204
_cell_length_b 4.3204
_cell_length_c 3.5026
_cell_angle_alpha 90.00
_cell_angle_beta 90.00
_cell_angle_gamma 120.00
_space_group_name_H-M_alt 'P -6 m 2'
_space_group_IT_number 187
_space_group_name_Hall 'P -6 2'
loop_
_atom_site_label
_atom_site_type_symbol
_atom_site_fract_x
_atom_site_fract_y
_atom_site_fract_z
Pa1 Pa 0.0000 0.0000 0.0000
Cr1 Cr 0.6667 0.3333 0.5000
As1 As 0.3333 0.6667 0.5000

---

Arrangement 2

# PaCrAs | Alexandria via LeMat-Bulk | PBE | relaxed
# **Calculated density**: 9.36 g/cm3
data_PaCrAs
_chemical_formula_sum 'Pa2 Cr2 As2'
_cell_length_a 4.1371
_cell_length_b 4.1371
_cell_length_c 7.4166
_cell_angle_alpha 90.00
_cell_angle_beta 90.00
_cell_angle_gamma 90.00
_space_group_name_H-M_alt 'I 4 m m'
_space_group_IT_number 107
_space_group_name_Hall 'I 4 -2'
loop_
_atom_site_label
_atom_site_type_symbol
_atom_site_fract_x
_atom_site_fract_y
_atom_site_fract_z
Pa1 Pa 0.0000 0.0000 0.0000
Cr1 Cr 0.0000 0.0000 0.2932
As1 As 0.0000 0.0000 0.6212

---

Arrangement 3

# PaCrAs | Alexandria via LeMat-Bulk | PBE | relaxed
# **Calculated density**: 10.78 g/cm3
data_PaCrAs
_chemical_formula_sum 'Pa4 Cr4 As4'
_cell_length_a 10.0176
_cell_length_b 4.1870
_cell_length_c 6.4771
_cell_angle_alpha 90.00
_cell_angle_beta 125.75
_cell_angle_gamma 90.00
_space_group_name_H-M_alt 'C 1 2/m 1'
_space_group_IT_number 12
loop_
_space_group_symop_operation_xyz
'x,y,z'
'-x,-y,-z'
'-x,y,-z'
'x,-y,z'
'x+1/2,y+1/2,z'
'-x+1/2,-y+1/2,-z'
'-x+1/2,y+1/2,-z'
'x+1/2,-y+1/2,z'
loop_
_atom_site_label
_atom_site_type_symbol
_atom_site_fract_x
_atom_site_fract_y
_atom_site_fract_z
Pa1 Pa 0.0395 0.0000 0.3162
Cr1 Cr 0.1284 0.5000 0.0776
As1 As 0.1983 0.5000 0.7505

---

Each structure's energy above the most stable one, in meV per atom: arrangement 1 44; arrangement 2 661; arrangement 3 0.